Record 1
VASP calculation (GGA-PBE) on crystalline Sc4Co3Mo2C3 at its relaxed geometry.

abc: 5.3800 5.3800 13.4921
angles: 100.63 100.63 60.61
Sites, in units of the cell vectors:
Sc: 0.0426 0.1842 0.0979
Sc: 0.1286 0.3006 0.4016
Sc: 0.1842 0.0426 0.5979
Sc: 0.3006 0.1286 0.9016
Sc: 0.6994 0.8714 0.0984
Sc: 0.8158 0.9574 0.4021
Sc: 0.8714 0.6994 0.5984
Sc: 0.9574 0.8158 0.9021
Co: 0.0588 0.4219 0.7513
Co: 0.1472 0.8528 0.7500
Co: 0.4219 0.0588 0.2513
Co: 0.5781 0.9412 0.7487
Co: 0.8528 0.1472 0.2500
Co: 0.9412 0.5781 0.2487
Mo: 0.3493 0.5251 0.0891
Mo: 0.4749 0.6507 0.4109
Mo: 0.5251 0.3493 0.5891
Mo: 0.6507 0.4749 0.9109
C: 0.0000 0.5000 0.0000
C: 0.1951 0.6518 0.5000
C: 0.3482 0.8049 0.0000
C: 0.5000 0.0000 0.5000
C: 0.6518 0.1951 0.0000
C: 0.8049 0.3482 0.5000

ρ in kg/m³: 5840
Electronic total energy in eV/f.u.: -96.33


Record 2
VASP calculation (GGA-PBE) on crystalline Dy3Sc3SbTeOs at its relaxed geometry.

abc: 7.8904 7.8904 4.0906
angles: 90.00 90.00 120.00
Sites, in units of the cell vectors:
Dy: 0.0036 0.6120 0.0000
Dy: 0.3880 0.3916 0.0000
Dy: 0.6084 0.9964 0.0000
Sc: 0.0012 0.2294 0.5000
Sc: 0.2283 0.9988 0.5000
Sc: 0.7706 0.7717 0.5000
Sb: 0.3333 0.6667 0.5000
Te: 0.6667 0.3333 0.5000
Os: 0.0000 0.0000 0.0000

ρ in kg/m³: 7995
Electronic total energy in eV/f.u.: -58.13


Record 3
VASP calculation (GGA-PBE) on crystalline SrTcAsO at its relaxed geometry.

abc: 4.0030 4.4653 7.7754
angles: 90.00 90.00 90.00
Sites, in units of the cell vectors:
Sr: 0.0000 0.0000 0.0000
Sr: 0.0000 0.5000 0.5000
Tc: 0.5000 0.0000 0.3323
Tc: 0.5000 0.5000 0.8323
As: 0.5000 0.0000 0.6657
As: 0.5000 0.5000 0.1657
O: 0.0000 0.0000 0.3330
O: 0.0000 0.5000 0.8330

ρ in kg/m³: 6608
Excess energy over the best structure of this formula in the dataset in eV per atom: 0.0000
Electronic total energy in eV/f.u.: -26.05


Record 4
VASP calculation (GGA-PBE) on crystalline FeSiW4C2 at its relaxed geometry.

abc: 3.0601 3.0601 12.5615
angles: 90.00 90.00 120.00
Sites, in units of the cell vectors:
Fe: 0.0000 0.0000 0.0000
Si: 0.3333 0.6667 0.5000
W: 0.0000 0.0000 0.3450
W: 0.0000 0.0000 0.6550
W: 0.3333 0.6667 0.1543
W: 0.3333 0.6667 0.8457
C: 0.6667 0.3333 0.2494
C: 0.6667 0.3333 0.7506

ρ in kg/m³: 13746
Electronic total energy in eV/f.u.: -82.57


Record 5
VASP calculation (GGA-PBE) on crystalline Tm3Cl2 at its relaxed geometry.

abc: 7.1424 7.1424 7.1424
angles: 56.33 56.33 56.33
Sites, in units of the cell vectors:
Tm: 0.0953 0.7500 0.4047
Tm: 0.2500 0.5953 0.9047
Tm: 0.4047 0.0953 0.7500
Tm: 0.5953 0.9047 0.2500
Tm: 0.7500 0.4047 0.0953
Tm: 0.9047 0.2500 0.5953
Cl: 0.1663 0.1663 0.1663
Cl: 0.3337 0.3337 0.3337
Cl: 0.6663 0.6663 0.6663
Cl: 0.8337 0.8337 0.8337

ρ in kg/m³: 8138
Electronic total energy in eV/f.u.: -21.39


Record 6
VASP calculation (GGA-PBE) on crystalline YBeAsOs at its relaxed geometry.

abc: 6.3398 6.3398 6.3398
angles: 90.00 90.00 90.00
Sites, in units of the cell vectors:
Y: 0.0000 0.0000 0.0000
Y: 0.0000 0.5000 0.5000
Y: 0.5000 0.0000 0.5000
Y: 0.5000 0.5000 0.0000
Be: 0.2500 0.2500 0.7500
Be: 0.2500 0.7500 0.2500
Be: 0.7500 0.2500 0.2500
Be: 0.7500 0.7500 0.7500
As: 0.2500 0.2500 0.2500
As: 0.2500 0.7500 0.7500
As: 0.7500 0.2500 0.7500
As: 0.7500 0.7500 0.2500
Os: 0.0000 0.0000 0.5000
Os: 0.0000 0.5000 0.0000
Os: 0.5000 0.0000 0.0000
Os: 0.5000 0.5000 0.5000

ρ in kg/m³: 9464
Excess energy over the best structure of this formula in the dataset in eV per atom: 0.0000
Electronic total energy in eV/f.u.: -26.53


Record 7
VASP calculation (GGA-PBE) on crystalline LuTlCoTe3 at its relaxed geometry.

abc: 16.2186 4.1155 11.1948
angles: 90.00 90.00 90.00
Sites, in units of the cell vectors:
Lu: 0.0216 0.2500 0.1603
Lu: 0.4784 0.7500 0.6603
Lu: 0.5216 0.2500 0.3397
Lu: 0.9784 0.7500 0.8397
Tl: 0.2365 0.2500 0.4767
Tl: 0.2635 0.7500 0.9767
Tl: 0.7365 0.2500 0.0233
Tl: 0.7635 0.7500 0.5233
Co: 0.0106 0.7500 0.4122
Co: 0.4894 0.2500 0.9122
Co: 0.5106 0.7500 0.0878
Co: 0.9894 0.2500 0.5878
Te: 0.0807 0.7500 0.6100
Te: 0.1031 0.2500 0.9214
Te: 0.1347 0.7500 0.2669
Te: 0.3653 0.2500 0.7669
Te: 0.3969 0.7500 0.4214
Te: 0.4193 0.2500 0.1100
Te: 0.5807 0.7500 0.8900
Te: 0.6031 0.2500 0.5786
Te: 0.6347 0.7500 0.2331
Te: 0.8653 0.2500 0.7331
Te: 0.8969 0.7500 0.0786
Te: 0.9193 0.2500 0.3900

ρ in kg/m³: 7299
Excess energy over the best structure of this formula in the dataset in eV per atom: 0.0000
Electronic total energy in eV/f.u.: -27.01


Record 8
VASP calculation (GGA-PBE) on crystalline SmHo2Cu4Sn4 at its relaxed geometry.

abc: 8.4634 8.4634 8.4634
angles: 149.52 131.18 58.65
Sites, in units of the cell vectors:
Sm: 0.0000 0.0000 0.0000
Ho: 0.3687 0.8687 0.5000
Ho: 0.6313 0.1313 0.5000
Cu: 0.0172 0.3303 0.6869
Cu: 0.3566 0.6697 0.6869
Cu: 0.6434 0.3303 0.3131
Cu: 0.9828 0.6697 0.3131
Sn: 0.2181 0.2181 0.0000
Sn: 0.3003 0.5000 0.8003
Sn: 0.6997 0.5000 0.1997
Sn: 0.7819 0.7819 0.0000

ρ in kg/m³: 8743
Electronic total energy in eV/f.u.: -50.37